Arrangement i

VASP calculation (PBE) on SrPd3Au after structural relaxation.

Cell: 5.099 5.099 5.099 Å, 90.00 90.00 90.00°
Space group Pm-3m (No. 221)
Inequivalent atoms, fractional coordinates:
Sr1 0.000 0.000 0.000
Pd1 0.000 0.000 0.500
Au1 0.500 0.500 0.500

Mass density, g cm⁻³: 7.564


Arrangement ii

VASP calculation (PBE) on SrPd3Au after structural relaxation.

Cell: 6.4030 6.4030 13.0555 Å, 90.00 90.00 120.00°
Space group P6_3/mmc (No. 194)
Inequivalent atoms, fractional coordinates:
Sr1 0.0000 0.0000 0.0000
Sr2 0.3333 0.6667 0.2500
Pd1 0.0000 0.5000 0.0000
Pd2 0.1340 0.2680 0.7500
Au1 0.3333 0.6667 0.6417

Mass density, g cm⁻³: 8.652


Which structure is the least stable? The one labeled arrangement i.


Arrangement i

VASP calculation (PBE) on SrPd3Au after structural relaxation.

Cell: 4.383 5.384 9.489 Å, 90.00 90.00 90.00°
Space group Amm2 (No. 38)
Inequivalent atoms, fractional coordinates:
Sr1 0.000 0.000 0.000
Pd1 0.000 0.000 0.325
Pd2 0.500 0.245 0.754
Au1 0.500 0.000 0.508

Mass density, g cm⁻³: 8.956


Arrangement ii

VASP calculation (PBE) on SrPd3Au after structural relaxation.

Cell: 5.050 5.050 5.050 Å, 90.00 90.00 90.00°
Space group Pm-3m (No. 221)
Inequivalent atoms, fractional coordinates:
Sr1 0.000 0.000 0.000
Pd1 0.000 0.500 0.500
Au1 0.500 0.500 0.500

Mass density, g cm⁻³: 7.785


Which structure is the least stable? The one labeled arrangement ii.


Arrangement i

VASP calculation (PBE) on Sr2Pd2Au after structural relaxation.

Cell: 7.597 7.597 4.290 Å, 90.00 90.00 90.00°
Space group P4/mbm (No. 127)
Inequivalent atoms, fractional coordinates:
Sr1 0.177 0.323 0.000
Pd1 0.128 0.628 0.500
Au1 0.000 0.000 0.500

Mass density, g cm⁻³: 7.847


Arrangement ii

VASP calculation (PBE) on Sr2Pd2Au after structural relaxation.

Cell: 10.106 5.853 8.580 Å, 90.00 104.61 90.00°
Space group C2/c (No. 15)
Inequivalent atoms, fractional coordinates:
Sr1 0.150 0.143 0.151
Pd1 0.132 0.367 0.501
Au1 0.000 0.332 0.750

Mass density, g cm⁻³: 7.913


Arrangement iii

VASP calculation (PBE) on Sr2Pd2Au after structural relaxation.

Cell: 5.829 5.829 8.060 Å, 90.00 90.00 90.00°
Space group I4/mmm (No. 139)
Inequivalent atoms, fractional coordinates:
Sr1 0.000 0.500 0.250
Pd1 0.000 0.000 0.162
Au1 0.000 0.000 0.500

Mass density, g cm⁻³: 7.094


Arrangement iv

VASP calculation (PBE) on Sr2Pd2Au after structural relaxation.

Cell: 4.722 5.831 8.977 Å, 90.00 90.00 90.00°
Space group Immm (No. 71)
Inequivalent atoms, fractional coordinates:
Sr1 0.000 0.000 0.200
Pd1 0.000 0.263 0.500
Au1 0.000 0.500 0.000

Mass density, g cm⁻³: 7.861


Which structure is the least stable? The one labeled arrangement iii.


Arrangement i

VASP calculation (PBE) on Sr2Pd2Au after structural relaxation.

Cell: 3.877 3.877 17.474 Å, 90.00 90.00 90.00°
Space group I4/mmm (No. 139)
Inequivalent atoms, fractional coordinates:
Sr1 0.000 0.000 0.113
Pd1 0.000 0.500 0.250
Au1 0.000 0.000 0.500

Mass density, g cm⁻³: 7.397


Arrangement ii

VASP calculation (PBE) on Sr2Pd2Au after structural relaxation.

Cell: 8.469 8.469 3.845 Å, 90.00 90.00 90.00°
Space group P4/mbm (No. 127)
Inequivalent atoms, fractional coordinates:
Sr1 0.177 0.323 0.000
Pd1 0.114 0.614 0.500
Au1 0.000 0.000 0.000

Mass density, g cm⁻³: 7.046


Which structure is the least stable? The one labeled arrangement ii.